(1)
! BeTe2F PBE relaxed; values from VASP
! Total magnetic moment ... 0.00 μB per formula unit
! Formation energy from raw total energies ... -37.3 kJ/mol of atoms
! D(E_F) ... 0.82 states/eV per atom
! Space-group type ... R-3m
! Polymorph energy (0 for the lowest one) ... 0 meV/atom
&SYSTEM
  ibrav = 0, nat = 4, ntyp = 3
/
ATOMIC_SPECIES
Be 9.01 Be.upf
Te 127.60 Te.upf
F 19.00 F.upf
CELL_PARAMETERS angstrom
1.896 1.095 7.362
-1.896 1.095 7.362
0.000 -2.189 7.362
ATOMIC_POSITIONS angstrom
Be 0.000 0.000 0.000
Te 0.000 0.000 8.741
Te 0.000 0.000 13.344
F 0.000 0.000 11.043



(2)
! BeTe2F PBE relaxed; values from VASP
! Total magnetic moment ... 0.00 μB per formula unit
! Formation energy from raw total energies ... -22.9 kJ/mol of atoms
! D(E_F) ... 0.40 states/eV per atom
! Space-group type ... Fm-3m
! Polymorph energy (0 for the lowest one) ... 149 meV/atom
&SYSTEM
  ibrav = 0, nat = 4, ntyp = 3
/
ATOMIC_SPECIES
Be 9.01 Be.upf
Te 127.60 Te.upf
F 19.00 F.upf
CELL_PARAMETERS angstrom
0.000 3.279 3.279
3.279 0.000 3.279
3.279 3.279 0.000
ATOMIC_POSITIONS angstrom
Be 0.000 0.000 0.000
Te 1.639 1.639 1.639
Te 4.918 4.918 4.918
F 3.279 3.279 3.279



(3)
! BeTeF2 PBE relaxed; values from VASP
! Total magnetic moment ... 0.00 μB per formula unit
! Formation energy from raw total energies ... -23.4 kJ/mol of atoms
! D(E_F) ... 0.83 states/eV per atom
! Space-group type ... Fm-3m
! Polymorph energy (0 for the lowest one) ... 1705 meV/atom
&SYSTEM
  ibrav = 0, nat = 4, ntyp = 3
/
ATOMIC_SPECIES
Be 9.01 Be.upf
Te 127.60 Te.upf
F 19.00 F.upf
CELL_PARAMETERS angstrom
0.000 3.078 3.078
3.078 0.000 3.078
3.078 3.078 0.000
ATOMIC_POSITIONS angstrom
Be 0.000 0.000 0.000
Te 3.078 3.078 3.078
F 1.539 1.539 1.539
F 4.617 4.617 4.617



(4)
! BeTeF2 PBE relaxed; values from VASP
! Total magnetic moment ... 0.00 μB per formula unit
! Formation energy from raw total energies ... -187.9 kJ/mol of atoms
! D(E_F) ... 0.19 states/eV per atom
! Space-group type ... Fd-3m
! Polymorph energy (0 for the lowest one) ... 0 meV/atom
&SYSTEM
  ibrav = 0, nat = 8, ntyp = 3
/
ATOMIC_SPECIES
Be 9.01 Be.upf
Te 127.60 Te.upf
F 19.00 F.upf
CELL_PARAMETERS angstrom
0.000 3.831 3.831
3.831 0.000 3.831
3.831 3.831 0.000
ATOMIC_POSITIONS angstrom
Be 0.958 0.958 0.958
Be 6.704 6.704 6.704
Te 2.873 2.873 2.873
Te 4.789 4.789 4.789
F 0.000 0.000 0.000
F 1.915 1.915 0.000
F 1.915 0.000 1.915
F 0.000 1.915 1.915



(5)
! BeTeF2 PBE relaxed; values from VASP
! Total magnetic moment ... 0.29 μB per formula unit
! Formation energy from raw total energies ... -179.9 kJ/mol of atoms
! D(E_F) ... 0.25 states/eV per atom
! Space-group type ... R-3m
! Polymorph energy (0 for the lowest one) ... 83 meV/atom
&SYSTEM
  ibrav = 0, nat = 4, ntyp = 3
/
ATOMIC_SPECIES
Be 9.01 Be.upf
Te 127.60 Te.upf
F 19.00 F.upf
CELL_PARAMETERS angstrom
1.470 0.848 9.801
-1.470 0.848 9.801
0.000 -1.697 9.801
ATOMIC_POSITIONS angstrom
Be 0.000 0.000 0.000
Te 0.000 0.000 14.702
F 0.000 0.000 10.632
F 0.000 0.000 18.772



(6)
! ThBeF6 PBE relaxed; values from VASP
! Total magnetic moment ... 0.00 μB per formula unit
! Formation energy from raw total energies ... -347.5 kJ/mol of atoms
! D(E_F) ... 0.00 states/eV per atom
! Space-group type ... C2/m
&SYSTEM
  ibrav = 0, nat = 8, ntyp = 3
/
ATOMIC_SPECIES
Th 232.04 Th.upf
Be 9.01 Be.upf
F 19.00 F.upf
CELL_PARAMETERS angstrom
2.875 -3.379 0.000
2.875 3.379 0.000
-1.079 0.000 4.304
ATOMIC_POSITIONS angstrom
Th 0.000 0.000 0.000
Be 2.336 0.000 2.152
F 0.623 0.000 2.444
F 2.017 1.192 0.925
F 2.654 1.192 3.380
F 2.017 -1.192 0.925
F 2.654 -1.192 3.380
F 4.049 0.000 1.860



(7)
! Ti2BeF PBE relaxed; values from VASP
! Total magnetic moment ... 0.00 μB per formula unit
! Formation energy from raw total energies ... -29.4 kJ/mol of atoms
! D(E_F) ... 0.68 states/eV per atom
! Space-group type ... I-42d
! Polymorph energy (0 for the lowest one) ... 41 meV/atom
&SYSTEM
  ibrav = 0, nat = 8, ntyp = 3
/
ATOMIC_SPECIES
Ti 47.87 Ti.upf
Be 9.01 Be.upf
F 19.00 F.upf
CELL_PARAMETERS angstrom
-2.364 2.364 5.429
2.364 -2.364 5.429
2.364 2.364 -5.429
ATOMIC_POSITIONS angstrom
Ti 3.546 1.034 -1.357
Ti 1.034 1.182 1.357
Ti -1.182 1.330 4.072
Ti 1.330 1.182 6.787
Be 2.364 0.000 2.715
Be 0.000 0.000 5.429
F 0.000 0.000 0.000
F 0.000 2.364 2.715



(8)
! Ti2BeF PBE relaxed; values from VASP
! Total magnetic moment ... 0.00 μB per formula unit
! Formation energy from raw total energies ... -33.4 kJ/mol of atoms
! D(E_F) ... 2.42 states/eV per atom
! Space-group type ... Fm-3m
! Polymorph energy (0 for the lowest one) ... 0 meV/atom
&SYSTEM
  ibrav = 0, nat = 4, ntyp = 3
/
ATOMIC_SPECIES
Ti 47.87 Ti.upf
Be 9.01 Be.upf
F 19.00 F.upf
CELL_PARAMETERS angstrom
0.000 2.953 2.953
2.953 0.000 2.953
2.953 2.953 0.000
ATOMIC_POSITIONS angstrom
Ti 1.477 1.477 1.477
Ti 4.430 4.430 4.430
Be 0.000 0.000 0.000
F 2.953 2.953 2.953



(9)
! TiBe2F8 PBE relaxed; values from VASP
! Total magnetic moment ... 0.15 μB per formula unit
! Formation energy from raw total energies ... -299.7 kJ/mol of atoms
! D(E_F) ... 0.00 states/eV per atom
! Space-group type ... C2/m
&SYSTEM
  ibrav = 0, nat = 11, ntyp = 3
/
ATOMIC_SPECIES
Ti 47.87 Ti.upf
Be 9.01 Be.upf
F 19.00 F.upf
CELL_PARAMETERS angstrom
5.293 -2.819 0.000
5.293 2.819 0.000
-0.448 0.000 4.764
ATOMIC_POSITIONS angstrom
Ti 0.000 0.000 0.000
Be 1.624 0.000 3.051
Be 8.515 0.000 1.713
F 4.120 1.639 0.916
F 1.117 0.000 1.534
F 6.019 1.639 3.849
F 3.039 0.000 3.238
F 7.100 0.000 1.526
F 4.120 -1.639 0.916
F 9.023 0.000 3.230
F 6.019 -1.639 3.849



(10)
! TiBeF3 PBE relaxed; values from VASP
! Total magnetic moment ... 1.47 μB per formula unit
! Formation energy from raw total energies ... -172.0 kJ/mol of atoms
! D(E_F) ... 1.21 states/eV per atom
! Space-group type ... Pm-3m
! Polymorph energy (0 for the lowest one) ... 52 meV/atom
&SYSTEM
  ibrav = 0, nat = 5, ntyp = 3
/
ATOMIC_SPECIES
Ti 47.87 Ti.upf
Be 9.01 Be.upf
F 19.00 F.upf
CELL_PARAMETERS angstrom
4.088 0.000 0.000
0.000 4.088 0.000
0.000 0.000 4.088
ATOMIC_POSITIONS angstrom
Ti 0.000 0.000 0.000
Be 2.044 2.044 2.044
F 0.000 0.000 2.044
F 0.000 2.044 0.000
F 2.044 0.000 0.000



(11)
! TiBeF5 PBE relaxed; values from VASP
! Total magnetic moment ... 1.00 μB per formula unit
! Formation energy from raw total energies ... -316.7 kJ/mol of atoms
! D(E_F) ... 0.47 states/eV per atom
! Space-group type ... C2/c
&SYSTEM
  ibrav = 0, nat = 14, ntyp = 3
/
ATOMIC_SPECIES
Ti 47.87 Ti.upf
Be 9.01 Be.upf
F 19.00 F.upf
CELL_PARAMETERS angstrom
3.756 -3.779 0.000
3.756 3.779 0.000
-3.743 0.000 6.615
ATOMIC_POSITIONS angstrom
Ti 1.878 1.890 0.000
Ti 0.007 -1.890 3.308
Be 0.949 2.867 4.962
Be 2.820 -2.867 1.654
F -0.127 1.976 5.651
F -0.249 0.003 2.739
F -2.120 -0.003 6.046
F 2.820 1.385 1.654
F 2.025 1.976 4.272
F 1.744 -1.976 2.344
F 0.949 -1.385 4.962
F 5.889 0.003 0.569
F 4.018 -0.003 3.877
F 3.896 -1.976 0.964



(12)
! TiBeF PBE relaxed; values from VASP
! Total magnetic moment ... 0.68 μB per formula unit
! Formation energy from raw total energies ... -92.2 kJ/mol of atoms
! D(E_F) ... 0.78 states/eV per atom
! Space-group type ... Amm2
&SYSTEM
  ibrav = 0, nat = 6, ntyp = 3
/
ATOMIC_SPECIES
Ti 47.87 Ti.upf
Be 9.01 Be.upf
F 19.00 F.upf
CELL_PARAMETERS angstrom
13.925 0.000 0.000
0.000 1.209 2.756
0.000 -1.209 2.756
ATOMIC_POSITIONS angstrom
Ti 1.976 0.000 0.000
Ti 11.950 0.000 0.000
Be 0.000 0.000 1.635
Be 6.963 0.000 0.024
F 5.877 0.000 2.780
F 8.049 0.000 2.780



Question: Which of these has the highest formation energy from raw total energies?
Answer: number 2